A plane-wave DFT calculation with GGA+U was carried out for a relaxed structure of NiB2F8.

Lattice parameters (Å, degrees): 6.6994 7.0803 7.9260 73.63 65.00 61.76
With the nearest neighbours (Å) after each atom.
Fractional positions:
B1 0.3379 0.3580 0.4503  4 F 1.35-1.46
F1 0.2811 0.0512 0.8711  1 B 1.45
F2 0.7489 0.7596 0.9137  1 B 1.35
F3 0.7966 0.5512 0.3711  1 B 1.45
F4 0.0842 0.7100 0.9748  1 B 1.46
B2 0.1462 0.1420 0.0497  4 F 1.35-1.46
F5 0.5779 0.2596 0.4137  1 B 1.35
F6 0.2034 0.4488 0.6289  1 B 1.45
F7 0.9158 0.2900 0.0252  1 B 1.46
F8 0.7223 0.4728 0.6943  1 B 1.44
F9 0.7690 0.7900 0.5252  1 B 1.46
F10 0.2310 0.2100 0.4748  1 B 1.46
B3 0.6621 0.6420 0.5497  4 F 1.35-1.46
Ni1 0.0213 0.2500 0.7500  6 F 2.02-2.07
F11 0.4221 0.7404 0.5863  1 B 1.35
F12 0.2777 0.5272 0.3057  1 B 1.44
F13 0.2511 0.2404 0.0863  1 B 1.35
F14 0.1106 0.9728 0.1943  1 B 1.44
B4 0.8538 0.8580 0.9503  4 F 1.35-1.46
F15 0.8894 0.0272 0.8057  1 B 1.44
Ni2 0.9787 0.7500 0.2500  6 F 2.02-2.07
F16 0.7189 0.9488 0.1289  1 B 1.45

Volume (Å³/f.u.): 149
Space group: C2/c
E_tot (Ry per atom): -0.3987
M_tot (μB per atom): 0.1697